Record 1
Compound: NiAs2SeS
Source: the Alexandria database
Functional: PBE
Structure: relaxed

a = 4.5935 Å, b = 4.5935 Å, c = 4.6983 Å
α = 90.00°, β = 90.00°, γ = 90.00°
Fractional positions:
As  0.5000  0.0000  0.0000
Se  0.0000  0.0000  0.5000
As  0.0000  0.5000  0.0000
Ni  0.0000  0.0000  0.0000
S  0.5000  0.5000  0.5000

Summary:
Formation energy without anion corrections, eV per atom: 0.59

---

Record 2
Compound: NaTc2Ru2
Source: the Alexandria database
Functional: PBE
Structure: relaxed

a = 7.6988 Å, b = 7.6988 Å, c = 2.7182 Å
α = 90.00°, β = 90.00°, γ = 90.00°
Fractional positions:
Ru  0.6251  0.1251  0.0000
Tc  0.8367  0.3367  0.5000
Ru  0.3749  0.8749  0.0000
Ru  0.1251  0.3749  0.0000
Na  0.5000  0.5000  0.0000
Tc  0.1633  0.6633  0.5000
Ru  0.8749  0.6251  0.0000
Tc  0.3367  0.1633  0.5000
Tc  0.6633  0.8367  0.5000
Na  0.0000  0.0000  0.0000

Summary:
E_form, meV per atom: 327.5

---

Number 1: spin magnetization 0.0 μB/f.u.. Number 2: spin magnetization 0.0 μB/f.u..